A plane-wave DFT calculation with GGA-PBEsol was carried out for an optimized crystal structure of Nb4AgS8.

a = 3.3230 Å, b = 3.3230 Å, c = 75.2054 Å
α = 90.00°, β = 90.00°, γ = 120.00°
Space group R3m (No. 160, hexagonal axes)
Inequivalent atoms, fractional coordinates:
Nb 0.0000 0.0000 0.0000 (multiplicity 3)
Nb 0.0000 0.0000 0.0771 (multiplicity 3)
Nb 0.0000 0.0000 0.5080 (multiplicity 3)
Nb 0.0000 0.0000 0.5856 (multiplicity 3)
Ag 0.0000 0.0000 0.4629 (multiplicity 3)
S 0.0000 0.0000 0.1535 (multiplicity 3)
S 0.0000 0.0000 0.1949 (multiplicity 3)
S 0.0000 0.0000 0.3902 (multiplicity 3)
S 0.0000 0.0000 0.4313 (multiplicity 3)
S 0.0000 0.0000 0.6460 (multiplicity 3)
S 0.0000 0.0000 0.6874 (multiplicity 3)
S 0.0000 0.0000 0.8982 (multiplicity 3)
S 0.0000 0.0000 0.9396 (multiplicity 3)

Output
Energy relative to the elements, uncorrected, eV/atom: -1.007